## Na4Ag2SnPb (PBE-GGA)

Data for a relaxed Na4Ag2SnPb crystal.

Unit cell a=5.039 b=5.039 c=7.113 alpha=90.00 beta=90.00 gamma=90.00
Sites, in units of the cell vectors:
Na1 0.000 0.000 0.000
Na2 0.000 0.500 0.246
Na3 0.500 0.000 0.754
Na4 0.500 0.500 0.500
Ag1 0.000 0.500 0.761
Ag2 0.500 0.000 0.239
Sn1 0.500 0.500 0.000
Pb1 0.000 0.000 0.500

Values from the calculation:
Space group: P-4m2, No. 115

=====

## NaAgTe3Pb (PBE-GGA)

Data for a relaxed NaAgTe3Pb crystal.

Unit cell a=7.449 b=7.449 c=12.110 alpha=90.00 beta=90.00 gamma=148.22
Sites, in units of the cell vectors:
Na1 0.247 0.753 0.750
Na2 0.753 0.247 0.250
Ag1 0.440 0.560 0.250
Ag2 0.560 0.440 0.750
Te1 0.074 0.926 0.250
Te2 0.333 0.667 0.050
Te3 0.333 0.667 0.450
Te4 0.667 0.333 0.550
Te5 0.667 0.333 0.950
Te6 0.926 0.074 0.750
Pb1 0.000 0.000 0.000
Pb2 0.000 0.000 0.500

Values from the calculation:
Space group: Cmcm, No. 63

=====

## NaAg2Pd2 (PBE-GGA)

Data for a relaxed NaAg2Pd2 crystal.

Unit cell a=7.977 b=7.977 c=2.926 alpha=90.00 beta=90.00 gamma=90.00
Sites, in units of the cell vectors:
Na1 0.000 0.000 0.000
Na2 0.500 0.500 0.000
Ag1 0.172 0.328 0.500
Ag2 0.328 0.828 0.500
Ag3 0.672 0.172 0.500
Ag4 0.828 0.672 0.500
Pd1 0.124 0.624 0.000
Pd2 0.376 0.124 0.000
Pd3 0.624 0.876 0.000
Pd4 0.876 0.376 0.000

Values from the calculation:
Space group: P4/mbm, No. 127

=====

## Na6AgPd (PBE-GGA)

Data for a relaxed Na6AgPd crystal.

Unit cell a=5.019 b=5.019 c=7.080 alpha=90.00 beta=90.00 gamma=90.00
Sites, in units of the cell vectors:
Na1 0.000 0.000 0.000
Na2 0.000 0.500 0.242
Na3 0.000 0.500 0.758
Na4 0.500 0.000 0.242
Na5 0.500 0.000 0.758
Na6 0.500 0.500 0.500
Ag1 0.000 0.000 0.500
Pd1 0.500 0.500 0.000

Values from the calculation:
Space group: P4/mmm, No. 123

=====

## NaAgTePdS2 (PBE-GGA)

Data for a relaxed NaAgTePdS2 crystal.

Unit cell a=7.617 b=7.617 c=10.712 alpha=90.00 beta=90.00 gamma=152.97
Sites, in units of the cell vectors:
Na1 0.245 0.755 0.750
Na2 0.755 0.245 0.250
Ag1 0.092 0.908 0.250
Ag2 0.908 0.092 0.750
Te1 0.429 0.571 0.250
Te2 0.571 0.429 0.750
Pd1 0.500 0.500 0.000
Pd2 0.500 0.500 0.500
S1 0.109 0.891 0.026
S2 0.109 0.891 0.474
S3 0.891 0.109 0.526
S4 0.891 0.109 0.974

Values from the calculation:
Space group: Cmcm, No. 63

=====

## NaAg3PdSe4 (PBE-GGA)

Data for a relaxed NaAg3PdSe4 crystal.

Unit cell a=6.225 b=6.225 c=6.225 alpha=90.00 beta=90.00 gamma=90.00
Sites, in units of the cell vectors:
Na1 0.000 0.000 0.000
Ag1 0.000 0.500 0.500
Ag2 0.500 0.000 0.500
Ag3 0.500 0.500 0.000
Pd1 0.500 0.500 0.500
Se1 0.266 0.266 0.266
Se2 0.266 0.734 0.734
Se3 0.734 0.266 0.734
Se4 0.734 0.734 0.266

Values from the calculation:
Space group: P-43m, No. 215

=====

## NaAgTe2PdSe (PBE-GGA)

Data for a relaxed NaAgTe2PdSe crystal.

Unit cell a=6.914 b=6.914 c=10.630 alpha=90.00 beta=90.00 gamma=146.43
Sites, in units of the cell vectors:
Na1 0.247 0.753 0.750
Na2 0.753 0.247 0.250
Ag1 0.439 0.561 0.250
Ag2 0.561 0.439 0.750
Te1 0.357 0.643 0.014
Te2 0.357 0.643 0.486
Te3 0.643 0.357 0.514
Te4 0.643 0.357 0.986
Pd1 0.000 0.000 0.000
Pd2 0.000 0.000 0.500
Se1 0.071 0.929 0.250
Se2 0.929 0.071 0.750

Values from the calculation:
Space group: Cmcm, No. 63

=====

## Na4Si2AgPd (PBE-GGA)

Data for a relaxed Na4Si2AgPd crystal.

Unit cell a=4.657 b=4.657 c=6.591 alpha=90.00 beta=90.00 gamma=90.00
Sites, in units of the cell vectors:
Na1 0.000 0.000 0.000
Na2 0.000 0.500 0.748
Na3 0.500 0.000 0.252
Na4 0.500 0.500 0.500
Si1 0.000 0.500 0.267
Si2 0.500 0.000 0.733
Ag1 0.500 0.500 0.000
Pd1 0.000 0.000 0.500

Values from the calculation:
Space group: P-4m2, No. 115

=====

## Na4AgSn2Pd (PBE-GGA)

Data for a relaxed Na4AgSn2Pd crystal.

Unit cell a=4.912 b=4.912 c=6.955 alpha=90.00 beta=90.00 gamma=90.00
Sites, in units of the cell vectors:
Na1 0.000 0.000 0.000
Na2 0.000 0.500 0.247
Na3 0.500 0.000 0.753
Na4 0.500 0.500 0.500
Ag1 0.000 0.000 0.500
Sn1 0.000 0.500 0.763
Sn2 0.500 0.000 0.237
Pd1 0.500 0.500 0.000

Values from the calculation:
Space group: P-4m2, No. 115

=====

## Na2Tl4AgPd (PBE-GGA)

Data for a relaxed Na2Tl4AgPd crystal.

Unit cell a=8.422 b=4.435 c=10.854 alpha=90.00 beta=90.00 gamma=90.00
Sites, in units of the cell vectors:
Na1 0.000 0.000 0.000
Na2 0.000 0.500 0.500
Na3 0.500 0.000 0.135
Na4 0.500 0.500 0.635
Tl1 0.193 0.000 0.708
Tl2 0.193 0.500 0.208
Tl3 0.290 0.000 0.428
Tl4 0.290 0.500 0.928
Tl5 0.710 0.000 0.428
Tl6 0.710 0.500 0.928
Tl7 0.807 0.000 0.708
Tl8 0.807 0.500 0.208
Ag1 0.500 0.000 0.848
Ag2 0.500 0.500 0.348
Pd1 0.000 0.000 0.285
Pd2 0.000 0.500 0.785

Values from the calculation:
Space group: Amm2, No. 38

=====

## NaPmAg (PBE-GGA)

Data for a relaxed NaPmAg crystal.

Unit cell a=7.071 b=7.071 c=7.071 alpha=90.00 beta=90.00 gamma=90.00
Sites, in units of the cell vectors:
Na1 0.000 0.000 0.000
Na2 0.000 0.500 0.500
Na3 0.500 0.000 0.500
Na4 0.500 0.500 0.000
Pm1 0.000 0.000 0.500
Pm2 0.000 0.500 0.000
Pm3 0.500 0.000 0.000
Pm4 0.500 0.500 0.500
Ag1 0.250 0.250 0.250
Ag2 0.250 0.750 0.750
Ag3 0.750 0.250 0.750
Ag4 0.750 0.750 0.250

Values from the calculation:
Space group: F-43m, No. 216

=====

## NaAgPt (PBE-GGA)

Data for a relaxed NaAgPt crystal.

Unit cell a=6.262 b=6.262 c=6.262 alpha=90.00 beta=90.00 gamma=90.00
Sites, in units of the cell vectors:
Na1 0.000 0.000 0.000
Na2 0.000 0.500 0.500
Na3 0.500 0.000 0.500
Na4 0.500 0.500 0.000
Ag1 0.250 0.250 0.750
Ag2 0.250 0.750 0.250
Ag3 0.750 0.250 0.250
Ag4 0.750 0.750 0.750
Pt1 0.250 0.250 0.250
Pt2 0.250 0.750 0.750
Pt3 0.750 0.250 0.750
Pt4 0.750 0.750 0.250

Values from the calculation:
Space group: F-43m, No. 216

=====

Energy values, unit eV per atom, following the record order: -2.453; -3.149; -3.529; -1.974; -3.714; -3.357; -3.485; -2.969; -2.846; -2.617; -2.844; -2.878.